Entry 1:
First-principles (PBE) data for a relaxed structure of SiAgIO2, as listed in Alexandria via LeMat-Bulk.

The structure in POSCAR format:
```
SiAgIO2
1.0
-3.381 -1.296 -0.721
1.347 -1.931 -2.844
1.023 -4.724 3.692
I Si O Ag
1 1 2 1
Direct
0.000 0.000 0.500
0.000 0.000 0.000
0.500 0.000 0.000
0.000 0.500 0.000
0.500 0.500 0.500
```

E_form (uncorrected)   -0.63 eV per atom
Spin magnetization   0.000 μB per formula unit
Symmetry   P4/mmm, No. 123

Entry 2:
First-principles (PBE) data for a relaxed structure of AgSnI2O, as listed in Alexandria via LeMat-Bulk.

The structure in POSCAR format:
```
AgSnI2O
1.0
-5.192 1.475 -2.243
-0.992 -5.592 -1.381
-1.729 -0.587 3.617
I Sn O Ag
2 1 1 1
Direct
0.000 0.500 0.000
0.500 0.000 0.000
0.500 0.500 0.500
0.000 0.000 0.500
0.000 0.000 0.000
```

E_form (uncorrected)   0.10 eV per atom
Spin magnetization   0.000 μB per formula unit
Symmetry   P4/mmm, No. 123

Entry 3:
First-principles (PBE) data for a relaxed structure of AgSnI2O, as listed in Alexandria via LeMat-Bulk.

The structure in POSCAR format:
```
AgSnI2O
1.0
-3.382 -2.426 4.454
-1.579 -4.584 -3.696
3.189 -2.120 1.267
Sn I O Ag
1 2 1 1
Direct
0.000 0.000 0.000
0.000 0.500 0.000
0.500 0.000 0.000
0.000 0.000 0.500
0.500 0.500 0.500
```

E_form (uncorrected)   -0.23 eV per atom
Spin magnetization   0.000 μB per formula unit
Symmetry   P4/mmm, No. 123

Entry 4:
First-principles (PBE) data for a relaxed structure of Sr2AgIO6, as listed in Alexandria via LeMat-Bulk.

The structure in POSCAR format:
```
Sr2AgIO6
1.0
5.933 0.000 0.000
2.966 5.138 0.000
2.966 1.713 4.844
O Sr Ag I
6 2 1 1
Direct
0.228 0.228 0.772
0.228 0.772 0.228
0.228 0.772 0.772
0.772 0.772 0.228
0.772 0.228 0.228
0.772 0.228 0.772
0.750 0.750 0.750
0.250 0.250 0.250
0.500 0.500 0.500
0.000 0.000 0.000
```

E_form (uncorrected)   -1.40 eV per atom
Spin magnetization   0.000 μB per formula unit
Symmetry   Fm-3m, No. 225